CoH2O | GGA+U | optimized geometry

abc: 6.129 6.129 6.129
angles: 90.00 90.00 90.00
Space group Fd-3m (No. 227, origin choice 2)
Unique sites:
Co 0.125 0.125 0.125
H 0.000 0.000 0.500
O 0.125 0.125 0.625

The calculation puts the distance to the lowest polymorph of the same formula at 0 meV/atom.